This record from the Alexandria database describes CrGeTe2I at its PBEsol-relaxed geometry. The functional is SCAN.

The value obtained for the density of states at the Fermi level is 0.6162 states/eV per atom. The calculation puts the formation energy without anion corrections at 0.3568 eV/atom. For the calculated total energy, the calculation gives -1.0799 hartree per atom.

The structure belongs to space group P4/mmm (No. 123); the cell edges are 5.1842, 5.1842 and 5.2612 Å and the angles 90.00°, 90.00° and 90.00°. The inequivalent atoms are Cr at (0.0000, 0.0000, 0.0000), Ge at (0.5000, 0.5000, 0.5000), Te at (0.0000, 0.5000, 0.0000) and I at (0.0000, 0.0000, 0.5000).

This record from the Alexandria database describes CrIn2NiGe at its PBEsol-relaxed geometry. The functional is SCAN.

For the energy relative to the elements, the calculation gives 0.78 eV per atom. The value obtained for the density of states at the Fermi level is 0.4089 states/eV per atom. For the calculated total energy, the calculation gives -0.8563 hartree per atom.

The structure belongs to space group P4/mmm (No. 123); the cell edges are 4.9629, 4.9629 and 4.5258 Å and the angles 90.00°, 90.00° and 90.00°. The inequivalent atoms are Cr at (0.0000, 0.0000, 0.0000), In at (0.0000, 0.5000, 0.0000), Ni at (0.5000, 0.5000, 0.5000) and Ge at (0.0000, 0.0000, 0.5000).

This record from the Alexandria database describes Cr2GeIrS at its PBEsol-relaxed geometry. The functional is SCAN.

The value obtained for the density of states at the Fermi level is 0.9423 states/eV per atom. The calculation puts the formation energy without anion corrections at 1.3591 eV/atom. For the calculated total energy, the calculation gives -0.9539 hartree per atom.

The structure belongs to space group P4/mmm (No. 123); the cell edges are 4.5061, 4.5061 and 4.4877 Å and the angles 90.00°, 90.00° and 90.00°. The inequivalent atoms are Cr at (0.0000, 0.5000, 0.0000), Ge at (0.0000, 0.0000, 0.0000), Ir at (0.5000, 0.5000, 0.5000) and S at (0.0000, 0.0000, 0.5000).

This record from the Alexandria database describes La6CrGe2S14 at its PBEsol-relaxed geometry. The functional is SCAN.

The value obtained for the density of states at the Fermi level is 0.2694 states/eV per atom. The calculation puts the formation energy without anion corrections at -1.8653 eV/atom. For the calculated total energy, the calculation gives -0.7875 hartree per atom.

The structure belongs to space group P3 (No. 143); the cell edges are 10.2160, 10.2160 and 5.7485 Å and the angles 90.00°, 90.00° and 120.00°. The inequivalent atoms are La at (0.0233, 0.5613, 0.0000), La at (0.3096, 0.1028, 0.5053), Cr at (0.6667, 0.3333, 0.2659), Ge at (0.0000, 0.0000, 0.9256), Ge at (0.3333, 0.6667, 0.4176), S at (0.0000, 0.0000, 0.3045), S at (0.0805, 0.8513, 0.7753), S at (0.1867, 0.4366, 0.2694), S at (0.3333, 0.6667, 0.7974), S at (0.4275, 0.1807, 0.0312) and S at (0.5117, 0.4173, 0.4989).

This record from the Alexandria database describes LaTaCr2Ge at its PBEsol-relaxed geometry. The functional is SCAN.

For the energy relative to the elements, the calculation gives 1.04 eV per atom. The value obtained for the density of states at the Fermi level is 1.0696 states/eV per atom. For the calculated total energy, the calculation gives -1.1784 hartree per atom.

The structure belongs to space group P4/mmm (No. 123); the cell edges are 4.4933, 4.4933 and 5.4220 Å and the angles 90.00°, 90.00° and 90.00°. The inequivalent atoms are La at (0.0000, 0.0000, 0.0000), Ta at (0.5000, 0.5000, 0.0000), Cr at (0.0000, 0.5000, 0.5000) and Ge at (0.0000, 0.0000, 0.5000).

This record from the Alexandria database describes Li3CrGe at its PBEsol-relaxed geometry. The functional is SCAN.

For the energy relative to the elements, the calculation gives 0.31 eV per atom. The value obtained for the density of states at the Fermi level is 0.3684 states/eV per atom. For the calculated total energy, the calculation gives -0.3168 hartree per atom.

The structure belongs to space group Pm-3m (No. 221); the cell edges are 4.6656, 4.6656 and 4.6656 Å and the angles 90.00°, 90.00° and 90.00°. The inequivalent atoms are Li at (0.0000, 0.0000, 0.5000), Cr at (0.5000, 0.5000, 0.5000) and Ge at (0.0000, 0.0000, 0.0000).

This record from the Alexandria database describes LiCrGe2O6 at its PBEsol-relaxed geometry. The functional is SCAN.

The energy above the most stable polymorph in this dataset is 0.016 eV per atom. The value obtained for the density of states at the Fermi level is 0.0000 states/eV per atom. The calculation puts the formation energy without anion corrections at -2.0768 eV/atom. For the calculated total energy, the calculation gives -0.4304 hartree per atom.

The structure belongs to space group C2/c (No. 15); the cell edges are 10.1591, 8.4751 and 5.4841 Å and the angles 90.00°, 111.35° and 90.00°. The inequivalent atoms are Li at (0.0000, 0.2206, 0.2500), Cr at (0.0000, 0.4154, 0.7500), Ge at (0.2126, 0.0959, 0.7609), O at (0.1005, 0.4070, 0.1409), O at (0.1382, 0.0330, 0.4285) and O at (0.1469, 0.2861, 0.7241).

This record from the Alexandria database describes LiCrGe2O6 at its PBEsol-relaxed geometry. The functional is SCAN.

The energy above the most stable polymorph in this dataset is 0.000 eV per atom. The value obtained for the density of states at the Fermi level is 0.0000 states/eV per atom. The calculation puts the formation energy without anion corrections at -2.0923 eV/atom. For the calculated total energy, the calculation gives -0.4309 hartree per atom.

The structure belongs to space group P2_1/c (No. 14); the cell edges are 9.5431, 8.6695 and 5.3324 Å and the angles 90.00°, 103.07° and 90.00°. The inequivalent atoms are Li at (0.2429, 0.0119, 0.4590), Cr at (0.2483, 0.6601, 0.4573), Ge at (0.0540, 0.1580, 0.8285), Ge at (0.4547, 0.1549, 0.2222), O at (0.1136, 0.1840, 0.1658), O at (0.1326, 0.5067, 0.2410), O at (0.1375, 0.6673, 0.7382), O at (0.3548, 0.6657, 0.1792), O at (0.3820, 0.2054, 0.4895) and O at (0.3883, 0.5297, 0.6641).